a.
Entry from Alexandria via LeMat-Bulk: an optimized crystal structure of P2PtPbS (PBE-GGA).

a b c (Å): 4.6719 4.6719 5.9592
angles (deg): 90.00 90.00 90.00
Last column: nearest neighbours and their distance in Å.
Sites, in units of the cell vectors:
Pb1 0.5000 0.5000 0.5000  4 S 3.30
P1 0.0000 0.5000 0.0000  2 Pt 2.34
P2 0.5000 0.0000 0.0000  2 Pt 2.34
S1 0.0000 0.0000 0.5000  2 Pt 2.98, 4 Pb 3.30
Pt1 0.0000 0.0000 0.0000  4 P 2.34

Results
* total magnetization: 0.0 μB/f.u.
* space group: P4/mmm, No. 123

***

b.
Entry from Alexandria via LeMat-Bulk: an optimized crystal structure of P2PtPbS (PBE-GGA).

a b c (Å): 5.1425 5.1425 4.9892
angles (deg): 90.00 90.00 90.00
Last column: nearest neighbours and their distance in Å.
Sites, in units of the cell vectors:
Pb1 0.0000 0.0000 0.0000  2 S 2.49, 4 P 2.57
P1 0.0000 0.5000 0.0000  2 Pb 2.57
P2 0.5000 0.0000 0.0000  2 Pb 2.57
S1 0.0000 0.0000 0.5000  2 Pb 2.49
Pt1 0.5000 0.5000 0.5000  8 P 3.58, 4 S 3.64

Results
* total magnetization: 0.0 μB/f.u.
* space group: P4/mmm, No. 123

***

Need the numbers? Relative energies in kJ/mol of atoms: a 0.0; b 119.7.

***

a.
Entry from Alexandria via LeMat-Bulk: an optimized crystal structure of PuP2Pb (PBE-GGA).

a b c (Å): 4.1522 4.1522 7.0489
angles (deg): 72.87 72.87 60.00
Last column: nearest neighbours and their distance in Å.
Sites, in units of the cell vectors:
Pu1 0.6669 0.6669 0.9993  6 P 2.72-2.79
P1 0.0723 0.0723 0.7830  3 Pu 2.79, 3 Pb 2.95
P2 0.2687 0.2687 0.1939  3 Pu 2.72
Pb1 0.4920 0.4920 0.5239  6 P 2.95-3.25

Results
* total magnetization: 4.0 μB/f.u.
* space group: R3m, No. 160

***

b.
Entry from Alexandria via LeMat-Bulk: an optimized crystal structure of PuP2Pb (PBE-GGA).

a b c (Å): 4.1021 4.1021 7.1584
angles (deg): 73.35 73.35 60.00
Last column: nearest neighbours and their distance in Å.
Sites, in units of the cell vectors:
Pb1 0.5000 0.5000 0.5000  6 P 3.07
P1 0.2631 0.2631 0.2106  3 Pu 2.76, 3 Pb 3.07
P2 0.7369 0.7369 0.7894  3 Pu 2.76, 3 Pb 3.07
Pu1 0.0000 0.0000 0.0000  6 P 2.76

Results
* total magnetization: 4.2 μB/f.u.
* space group: R-3m, No. 166

***

Need the numbers? Relative energies in kJ/mol of atoms: a 4.5; b 0.0.

***

a.
Entry from Alexandria via LeMat-Bulk: an optimized crystal structure of RbPPb3 (PBE-GGA).

a b c (Å): 5.6770 5.6770 5.6770
angles (deg): 90.00 90.00 90.00
Last column: nearest neighbours and their distance in Å.
Sites, in units of the cell vectors:
Pb1 0.0000 0.5000 0.0000  2 P 2.84
Pb2 0.0000 0.0000 0.5000  2 P 2.84
Pb3 0.5000 0.0000 0.0000  2 P 2.84
P1 0.0000 0.0000 0.0000  6 Pb 2.84
Rb1 0.5000 0.5000 0.5000  12 Pb 4.01

Results
* total magnetization: 0.0 μB/f.u.
* space group: Pm-3m, No. 221

***

b.
Entry from Alexandria via LeMat-Bulk: an optimized crystal structure of RbPPb3 (PBE-GGA).

a b c (Å): 6.0825 6.0825 6.0825
angles (deg): 90.00 90.00 90.00
Last column: nearest neighbours and their distance in Å.
Sites, in units of the cell vectors:
Pb1 0.0000 0.5000 0.0000  2 Rb 3.04
Pb2 0.0000 0.0000 0.5000  2 Rb 3.04
Pb3 0.5000 0.0000 0.0000  2 Rb 3.04
P1 0.5000 0.5000 0.5000  12 Pb 4.30
Rb1 0.0000 0.0000 0.0000  6 Pb 3.04

Results
* total magnetization: 0.0 μB/f.u.
* space group: Pm-3m, No. 221

***

Need the numbers? Relative energies in kJ/mol of atoms: a 0.0; b 133.2.

***

a.
Entry from Alexandria via LeMat-Bulk: an optimized crystal structure of RbP2Pb2 (PBE-GGA).

a b c (Å): 4.7675 4.7675 7.2329
angles (deg): 70.76 70.76 90.00
Last column: nearest neighbours and their distance in Å.
Sites, in units of the cell vectors:
Pb1 0.7500 0.2500 0.5000  4 P 3.21, 4 Pb 3.37
Pb2 0.2500 0.7500 0.5000  4 P 3.21, 4 Pb 3.37
P1 0.4177 0.4177 0.1646  1 P 2.11
P2 0.5823 0.5823 0.8354  1 P 2.11
Rb1 0.0000 0.0000 0.0000  8 P 3.53

Results
* total magnetization: 0.0 μB/f.u.
* space group: I4/mmm, No. 139

***

b.
Entry from Alexandria via LeMat-Bulk: an optimized crystal structure of RbP2Pb2 (PBE-GGA).

a b c (Å): 5.2373 5.2373 6.7737
angles (deg): 67.26 67.26 90.00
Last column: nearest neighbours and their distance in Å.
Sites, in units of the cell vectors:
Pb1 0.3460 0.3460 0.3079  4 P 2.84
Pb2 0.6540 0.6540 0.6921  4 P 2.84
P1 0.7500 0.2500 0.5000  4 Pb 2.84
P2 0.2500 0.7500 0.5000  4 Pb 2.84
Rb1 0.0000 0.0000 0.0000  8 P 3.86, 10 Pb 3.93-4.09

Results
* total magnetization: 0.0 μB/f.u.
* space group: I4/mmm, No. 139

***

c.
Entry from Alexandria via LeMat-Bulk: an optimized crystal structure of RbP2Pb2 (PBE-GGA).

a b c (Å): 8.8251 8.8251 3.8195
angles (deg): 90.00 90.00 90.00
Last column: nearest neighbours and their distance in Å.
Sites, in units of the cell vectors:
Pb1 0.1616 0.6616 0.5000  4 P 2.99
Pb2 0.6616 0.8384 0.5000  4 P 2.99
Pb3 0.8384 0.3384 0.5000  4 P 2.99
Pb4 0.3384 0.1616 0.5000  4 P 2.99
P1 0.4109 0.9109 0.0000  1 P 2.22
P2 0.9109 0.5891 0.0000  1 P 2.22
P3 0.5891 0.0891 0.0000  1 P 2.22
P4 0.0891 0.4109 0.0000  1 P 2.22
Rb1 0.0000 0.0000 0.0000  4 P 3.71, 2 Rb 3.82, 8 Pb 3.82
Rb2 0.5000 0.5000 0.0000  4 P 3.71, 2 Rb 3.82, 8 Pb 3.82

Results
* total magnetization: 0.0 μB/f.u.
* space group: P4/mbm, No. 127

***

Need the numbers? Relative energies in kJ/mol of atoms: a 0.0; b 7.0; c 10.9.